Entry 1:
# PBE-GGA DyPaPN2, relaxed
# Calculated total energy, eV per atom: -8.564
data_DyPaPN2
_chemical_formula_sum 'Dy2 Pa2 P2 N4'
_cell_length_a 3.859
_cell_length_b 3.859
_cell_length_c 12.154
_cell_angle_alpha 90.00
_cell_angle_beta 90.00
_cell_angle_gamma 90.00
_symmetry_space_group_name_H-M 'I 4 m m'
_symmetry_Int_Tables_number 107
_symmetry_space_group_name_Hall 'I 4 -2'
loop_
_atom_site_label
_atom_site_fract_x
_atom_site_fract_y
_atom_site_fract_z
_atom_site_occupancy
Dy1 0.000 0.000 0.000 1
Pa1 0.000 0.000 0.316 1
P1 0.000 0.000 0.660 1
N1 0.000 0.500 0.399 1



Entry 2:
# PBE-GGA DyPa2PN6, relaxed
# Calculated total energy, eV per atom: -8.880
data_DyPa2PN6
_chemical_formula_sum 'Dy1 Pa2 P1 N6'
_cell_length_a 5.249
_cell_length_b 5.249
_cell_length_c 4.994
_cell_angle_alpha 90.00
_cell_angle_beta 90.00
_cell_angle_gamma 90.00
_symmetry_space_group_name_H-M 'P 4 m m'
_symmetry_Int_Tables_number 99
loop_
_symmetry_equiv_pos_as_xyz
'x,y,z'
'-y,x,z'
'-x,-y,z'
'y,-x,z'
'-x,y,z'
'y,x,z'
'x,-y,z'
'-y,-x,z'
loop_
_atom_site_label
_atom_site_fract_x
_atom_site_fract_y
_atom_site_fract_z
_atom_site_occupancy
Dy1 0.000 0.000 0.000 1
Pa1 0.000 0.500 0.443 1
P1 0.500 0.500 0.053 1
N1 0.000 0.000 0.554 1
N2 0.277 0.277 0.181 1
N3 0.500 0.500 0.716 1



Entry 3:
# PBE-GGA DyPa2PN5, relaxed
# Calculated total energy, eV per atom: -8.920
data_DyPa2PN5
_chemical_formula_sum 'Dy2 Pa4 P2 N10'
_cell_length_a 6.588
_cell_length_b 6.588
_cell_length_c 5.373
_cell_angle_alpha 90.00
_cell_angle_beta 90.00
_cell_angle_gamma 90.00
_symmetry_space_group_name_H-M 'P 4/m b m'
_symmetry_Int_Tables_number 127
_symmetry_space_group_name_Hall '-P 4 2ab'
loop_
_atom_site_label
_atom_site_fract_x
_atom_site_fract_y
_atom_site_fract_z
_atom_site_occupancy
Dy1 0.000 0.000 0.000 1
Pa1 0.175 0.325 0.500 1
P1 0.000 0.500 0.000 1
N1 0.000 0.000 0.500 1
N2 0.139 0.639 0.235 1



Entry 4:
# PBE-GGA Pr2DyP2N6, relaxed
# Calculated total energy, eV per atom: -7.768
data_Pr2DyP2N6
_chemical_formula_sum 'Pr6 Dy3 P6 N18'
_cell_length_a 5.5976
_cell_length_b 5.5976
_cell_length_c 17.7691
_cell_angle_alpha 90.00
_cell_angle_beta 90.00
_cell_angle_gamma 120.00
_symmetry_space_group_name_H-M 'R -3 m'
_symmetry_Int_Tables_number 166
_symmetry_space_group_name_Hall '-R 3 2"'
loop_
_atom_site_label
_atom_site_fract_x
_atom_site_fract_y
_atom_site_fract_z
_atom_site_occupancy
Pr1 0.0000 0.0000 0.2084 1
Dy1 0.0000 0.0000 0.0000 1
P1 0.0000 0.0000 0.4135 1
N1 0.0079 0.5039 0.2406 1



Entry 5:
# PBE-GGA Dy2PuPN5, relaxed
# Calculated total energy, eV per atom: -8.877
data_Dy2PuPN5
_chemical_formula_sum 'Dy8 Pu4 P4 N20'
_cell_length_a 3.164
_cell_length_b 16.081
_cell_length_c 9.421
_cell_angle_alpha 90.00
_cell_angle_beta 90.00
_cell_angle_gamma 90.00
_symmetry_space_group_name_H-M 'C m c 21'
_symmetry_Int_Tables_number 36
loop_
_symmetry_equiv_pos_as_xyz
'x,y,z'
'-x,-y,z+1/2'
'-x,y,z'
'x,-y,z+1/2'
'x+1/2,y+1/2,z'
'-x+1/2,-y+1/2,z+1/2'
'-x+1/2,y+1/2,z'
'x+1/2,-y+1/2,z+1/2'
loop_
_atom_site_label
_atom_site_fract_x
_atom_site_fract_y
_atom_site_fract_z
_atom_site_occupancy
Dy1 0.000 0.097 0.000 1
Dy2 0.000 0.111 0.644 1
Pu1 0.000 0.217 0.346 1
P1 0.000 0.448 0.760 1
N1 0.000 0.039 0.356 1
N2 0.000 0.302 0.005 1
N3 0.000 0.352 0.696 1
N4 0.000 0.356 0.335 1
N5 0.000 0.495 0.118 1



Entry 6:
# PBE-GGA Dy8P3S3N, relaxed
# Calculated total energy, eV per atom: -6.575
data_Dy8P3S3N
_chemical_formula_sum 'Dy24 P9 S9 N3'
_cell_length_a 7.8142
_cell_length_b 7.8142
_cell_length_c 19.0482
_cell_angle_alpha 90.00
_cell_angle_beta 90.00
_cell_angle_gamma 120.00
_symmetry_space_group_name_H-M 'R -3 m'
_symmetry_Int_Tables_number 166
_symmetry_space_group_name_Hall '-R 3 2"'
loop_
_atom_site_label
_atom_site_fract_x
_atom_site_fract_y
_atom_site_fract_z
_atom_site_occupancy
Dy1 0.0000 0.0000 0.2477 1
Dy2 0.0294 0.5147 0.7442 1
P1 0.0000 0.5000 0.5000 1
S1 0.0000 0.5000 0.0000 1
N1 0.0000 0.0000 0.0000 1



Total moment across the listed records, respectively: 0.00, 0.00, 0.00, 3.06, 15.81, 0.00 μB/cell.
Formation energy (no corrections) across the listed records, respectively: -1.333, -0.984, -1.072, -0.956, -1.036, -1.658 eV/atom.